1.
AlMoIr2: relaxed, PBE-GGA.

Results
* energy of formation from the pure elements: -5.04 kcal/mol of atoms
* D(E_F): 1.064 states/eV/atom
* energy above the most stable polymorph in this dataset: 394.3 meV per atom

a = 8.9591 Å, b = 8.9591 Å, c = 8.9591 Å
α = 17.93°, β = 17.93°, γ = 17.93°
Fractional coordinates of all 4 atoms:
Al  0.7475  0.7475  0.7475
Ir  0.0037  0.0037  0.0037
Mo  0.5007  0.5007  0.5007
Ir  0.2481  0.2481  0.2481

2.
DyTa2C: relaxed, PBE-GGA.

Results
* energy of formation from the pure elements: 0.46 kcal/mol of atoms
* D(E_F): 0.836 states/eV/atom

a = 3.1398 Å, b = 3.1398 Å, c = 8.7888 Å
α = 79.71°, β = 79.71°, γ = 60.00°
Fractional coordinates of all 4 atoms:
Ta  0.1197  0.1197  0.6409
Ta  0.8803  0.8803  0.3591
C  0.5000  0.5000  0.5000
Dy  0.0000  0.0000  0.0000

3.
Ni2RuSe: relaxed, PBE-GGA.

Results
* energy relative to the elements, uncorrected: 0.6 eV/f.u.
* D(E_F): 1.011 states/eV/atom

a = 3.0899 Å, b = 3.0899 Å, c = 5.4350 Å
α = 90.00°, β = 90.00°, γ = 90.00°
Fractional coordinates of all 4 atoms:
Ru  0.0000  0.0000  0.4926
Se  0.5000  0.5000  0.7664
Ni  0.5000  0.5000  0.2297
Ni  0.0000  0.0000  0.0113